The following is a DFT calculation (PBE+U) of crystalline K4Tb3MoO8 at its relaxed geometry.

Cell: 6.9083 7.4004 6.9085 Å, 117.82 120.00 90.00°
Last column: nearest neighbours and their distance in Å.
Fractional coordinates of all 16 atoms:
1 K 0.5000 0.0000 0.0000  6 O 2.83
2 K 0.5000 0.0000 0.5000  6 O 2.78-2.79
3 K 0.0000 0.0000 0.0000  6 O 2.78-2.79
4 K 0.0000 0.0000 0.5000  6 O 2.78-2.79
5 Tb 0.5000 0.5000 0.0000  6 O 2.31-2.33
6 Tb 0.5000 0.5000 0.5000  6 O 2.31-2.33
7 Tb 0.0000 0.5000 0.5000  6 O 2.31-2.33
8 Mo 0.0000 0.5000 0.0000  6 O 2.27
9 O 0.2246 0.6857 0.9610  1 Mo 2.27, 2 Tb 2.33
10 O 0.2246 0.6857 0.4492  1 Mo 2.27, 2 Tb 2.33
11 O 0.2710 0.3129 0.5420  3 Tb 2.31
12 O 0.7364 0.6857 0.9610  1 Mo 2.27, 2 Tb 2.33
13 O 0.2636 0.3143 0.0390  1 Mo 2.27, 2 Tb 2.33
14 O 0.7290 0.6871 0.4580  3 Tb 2.31
15 O 0.7754 0.3143 0.5508  1 Mo 2.27, 2 Tb 2.33
16 O 0.7754 0.3143 0.0390  1 Mo 2.27, 2 Tb 2.33

Space group: No. 166
Energy: -6.52 eV/atom